# 1
Entry from OQMD via LeMat-Bulk: a geometry-optimized LaZn structure (PBE).

- DFT total energy: -3.2855 eV/atom

abc: 5.9317 13.4793 5.1029
angles: 90.00 90.00 90.00
Sites, in units of the cell vectors:
Zn 0.4722 0.4943 0.5000
Zn 0.7990 0.1290 0.5000
La 0.0017 0.3750 0.5000
La 0.5356 0.3750 0.0000
Zn 0.8609 0.7557 0.0000
La 0.2925 0.0434 0.5000
La 0.3319 0.8750 0.0000
La 0.2925 0.7066 0.5000
Zn 0.7990 0.6210 0.5000
La 0.0408 0.5434 0.0000
Zn 0.8609 0.9943 0.0000
La 0.0408 0.2066 0.0000
La 0.7982 0.8750 0.5000
Zn 0.4722 0.2557 0.5000
Zn 0.5342 0.6290 0.0000
Zn 0.5342 0.1210 0.0000

# 2
Entry from OQMD via LeMat-Bulk: a geometry-optimized LaZn structure (PBE).

- DFT total energy: -3.2546 eV/atom

abc: 5.7998 9.4843 4.7485
angles: 90.00 90.00 72.20
Sites, in units of the cell vectors:
La 0.1134 0.1465 0.5000
La 0.5700 0.8000 0.0000
Zn 0.1419 0.8000 0.5000
Zn 0.9985 0.9681 0.0000
Zn 0.1666 0.6319 0.0000
La 0.4476 0.1752 0.0000
Zn 0.7088 0.9955 0.5000
Zn 0.9041 0.6045 0.5000
La 0.8226 0.4248 0.0000
La 0.4597 0.4534 0.5000

# 3
Entry from OQMD via LeMat-Bulk: a geometry-optimized La2Zn structure (PBE).

- DFT total energy: -3.6830 eV/atom

abc: 6.2761 6.2761 6.2761
angles: 129.45 119.19 82.94
Sites, in units of the cell vectors:
La 0.1641 0.1656 0.9984
La 0.3328 0.8344 0.4984
La 0.8360 0.8344 0.0016
Zn 0.7500 0.5000 0.2500
La 0.6672 0.1656 0.5016
Zn 0.2500 0.5000 0.7500

# 4
Entry from OQMD via LeMat-Bulk: a geometry-optimized LaZn structure (PBE).

- DFT total energy: -3.0514 eV/atom

abc: 5.1440 5.1440 5.1440
angles: 60.00 60.00 60.00
Last column: magnetic moment on the atom in μB.
Sites, in units of the cell vectors:
La 0.7500 0.7500 0.7500  0.17
Zn 0.5000 0.5000 0.5000  0.01
Zn 0.2500 0.2500 0.2500  0.01
La 0.0000 0.0000 0.0000  0.17

# 5
Entry from OQMD via LeMat-Bulk: a geometry-optimized LaZn structure (PBE).

- DFT total energy: -3.2705 eV/atom

abc: 5.5377 11.7490 4.7441
angles: 90.00 90.00 90.01
Sites, in units of the cell vectors:
Zn 0.0307 0.3431 0.0000
Zn 0.5307 0.8232 0.0000
La 0.4035 0.9811 0.5000
La 0.9033 0.1855 0.5000
Zn 0.8802 0.6690 0.0000
La 0.8340 0.4866 0.5000
Zn 0.3386 0.3697 0.5000
La 0.3340 0.6800 0.5000
La 0.0132 0.9489 0.0000
Zn 0.8387 0.7970 0.5000
Zn 0.3798 0.4979 0.0000
La 0.5133 0.2178 0.0000

# 6
Entry from OQMD via LeMat-Bulk: a geometry-optimized LaZn2 structure (PBE).

- DFT total energy: -2.8585 eV/atom

abc: 5.8488 5.8488 5.8488
angles: 133.02 100.43 97.85
Sites, in units of the cell vectors:
La 0.4665 0.4665 0.0000
Zn 0.8618 0.1653 0.6965
Zn 0.4688 0.1653 0.3035
Zn 0.0308 0.8344 0.1964
Zn 0.6380 0.8344 0.8036
La 0.0340 0.5340 0.5000

# 7
Entry from OQMD via LeMat-Bulk: a geometry-optimized LaZn2 structure (PBE).

- DFT total energy: -2.7053 eV/atom

abc: 13.9980 3.7179 5.2666
angles: 90.00 90.00 90.00
Sites, in units of the cell vectors:
La 0.6187 0.5000 0.5000
Zn 0.5021 0.5000 0.0000
Zn 0.6402 0.0000 0.0000
La 0.3258 0.0000 0.0000
La 0.1187 0.0000 0.5000
Zn 0.8042 0.0000 0.5000
La 0.8257 0.5000 0.0000
Zn 0.1402 0.5000 0.0000
Zn 0.0021 0.0000 0.0000
Zn 0.3042 0.5000 0.5000
Zn 0.9423 0.5000 0.5000
Zn 0.4423 0.0000 0.5000

# 8
Entry from OQMD via LeMat-Bulk: a geometry-optimized La3Zn11 structure (PBE).

- DFT total energy: -2.3817 eV/atom

abc: 8.3903 8.3903 8.3903
angles: 148.82 115.17 73.69
Sites, in units of the cell vectors:
Zn 0.6918 0.5000 0.1918
Zn 0.3003 0.6598 0.6405
Zn 0.3082 0.5000 0.8082
Zn 0.0192 0.6598 0.3595
Zn 0.1427 0.8617 0.2810
La 0.0000 0.0000 0.0000
Zn 0.5000 0.0000 0.5000
Zn 0.8573 0.1383 0.7190
Zn 0.6997 0.3402 0.3595
La 0.2999 0.2999 0.0000
Zn 0.5807 0.8617 0.7190
Zn 0.9808 0.3402 0.6405
Zn 0.4193 0.1383 0.2810
La 0.7001 0.7001 0.0000

# 9
Entry from OQMD via LeMat-Bulk: a geometry-optimized LaZn structure (PBE).

- DFT total energy: -3.3110 eV/atom

abc: 4.5460 4.4766 4.9618
angles: 90.00 90.00 90.00
Sites, in units of the cell vectors:
Zn 0.8947 0.5000 0.5000
La 0.4789 0.5000 0.0000
La 0.3545 0.0000 0.5000
Zn 0.9387 0.0000 0.0000

# 10
Entry from OQMD via LeMat-Bulk: a geometry-optimized LaZn structure (PBE).

- DFT total energy: -3.1825 eV/atom

abc: 5.6367 7.3897 4.7584
angles: 90.00 90.00 90.00
Sites, in units of the cell vectors:
La 0.4014 0.0000 0.5000
La 0.8412 0.7107 0.5000
Zn 0.3391 0.5000 0.5000
La 0.8412 0.2893 0.5000
La 0.9491 0.0000 0.0000
Zn 0.0651 0.5000 0.0000
Zn 0.4481 0.7032 0.0000
Zn 0.4481 0.2968 0.0000